## BaCoSO (GGA+U)

Data for a geometry-optimized BaCoSO structure. Values from VASP.

```
&SYSTEM
  ibrav = 0, nat = 16, ntyp = 4
/
ATOMIC_SPECIES
Ba 137.33 Ba.upf
Co 58.93 Co.upf
S 32.06 S.upf
O 16.00 O.upf
ATOMIC_POSITIONS crystal
Ba 0.2234 0.2339 0.3431
Ba 0.2766 0.7661 0.8431
Ba 0.7234 0.2661 0.6569
Ba 0.7766 0.7339 0.1569
Co 0.2176 0.8899 0.5200
Co 0.2824 0.1101 0.0200
Co 0.7176 0.6101 0.4800
Co 0.7824 0.3899 0.9800
S 0.2186 0.6000 0.5927
S 0.2814 0.4000 0.0927
S 0.7186 0.9000 0.4073
S 0.7814 0.1000 0.9073
O 0.2230 0.1012 0.5984
O 0.2770 0.8988 0.0984
O 0.7230 0.3988 0.4016
O 0.7770 0.6012 0.9016
CELL_PARAMETERS angstrom
4.1656 0.0000 0.0000
0.0000 7.5761 0.0000
0.0000 0.0000 11.5144
```

Calculated values
Total magnetization (μB/f.u.): 3.0
DFT total energy (eV/atom): -5.491
Crystal system: orthorhombic
Symmetry: P2_12_12_1 (19)